(1)
DFT (GGA-PBE) results for a relaxed K2RhSe crystal.

Cell: 4.2947 4.2947 11.2168 Å, 78.96 78.96 90.00°
Last column: nearest neighbours and their distance in Å.
Element x y z (fractional)
Rh: 0.7500 0.2500 0.5000  4 Se 3.04, 4 K 3.09
Rh: 0.0000 0.0000 0.0000  4 Se 3.04, 4 K 3.09
Se: 0.2500 0.7500 0.5000  4 Rh 3.04, 4 K 3.10
Se: 0.5000 0.5000 0.0000  4 Rh 3.04, 4 K 3.10
K: 0.3750 0.3727 0.7500  4 K 3.02-3.05, 2 Rh 3.09, 2 Se 3.10
K: 0.6273 0.1250 0.2500  4 K 3.02-3.05, 2 Rh 3.09, 2 Se 3.10
K: 0.8750 0.8773 0.7500  4 K 3.02-3.05, 2 Rh 3.09, 2 Se 3.10
K: 0.1227 0.6250 0.2500  4 K 3.02-3.05, 2 Rh 3.09, 2 Se 3.10

Values from the calculation:
uncorrected formation energy: 243 meV per atom
crystal system: tetragonal
magnetic moment: 0.00 μB/atom
V: 199 Å³/cell


(2)
DFT (GGA-PBE) results for a relaxed KRhSe crystal.

Cell: 4.1260 4.1260 9.7051 Å, 90.00 90.00 90.00°
Last column: nearest neighbours and their distance in Å.
Element x y z (fractional)
Rh: 0.5000 0.5000 0.5000  4 Se 2.52
Rh: 0.0000 0.0000 0.5000  4 Se 2.52
Se: 0.5000 0.0000 0.6496  4 Rh 2.52
Se: 0.0000 0.5000 0.3504  4 Rh 2.52
K: 0.5000 0.0000 0.1923  4 Se 3.30, 4 Rh 3.63
K: 0.0000 0.5000 0.8077  4 Se 3.30, 4 Rh 3.63

Values from the calculation:
uncorrected formation energy: -436 meV per atom
crystal system: tetragonal
magnetic moment: 0.13 μB/atom
V: 165 Å³/cell


(3)
DFT (GGA-PBE) results for a relaxed K2RhSe crystal.

Cell: 5.1304 5.1304 5.1304 Å, 119.87 119.87 90.23°
Last column: nearest neighbours and their distance in Å.
Element x y z (fractional)
K: 0.2500 0.7500 0.5000  4 Rh 3.14, 4 K 3.14
K: 0.0000 0.0000 0.0000  4 Se 3.14, 4 K 3.14
Rh: 0.5000 0.5000 0.0000  4 Se 3.14, 4 K 3.14
Se: 0.7500 0.2500 0.5000  4 K 3.14, 4 Rh 3.14

Values from the calculation:
uncorrected formation energy: 62 meV per atom
crystal system: tetragonal
magnetic moment: 0.25 μB/atom
V: 96 Å³/cell


(4)
DFT (GGA-PBE) results for a relaxed KRh5Se8 crystal.

Cell: 3.7463 8.7928 9.8373 Å, 105.63 100.98 90.00°
Last column: nearest neighbours and their distance in Å.
Element x y z (fractional)
Se: 0.5761 0.1382 0.1521  4 Rh 2.46-2.53
Se: 0.4241 0.8618 0.8481  4 Rh 2.46-2.53
Se: 0.9153 0.1763 0.8305  3 Rh 2.48-2.55
Se: 0.8237 0.5118 0.6475  3 Rh 2.48-2.49
Se: 0.7642 0.8505 0.5284  5 Rh 2.53-2.64
Se: 0.2359 0.1494 0.4718  5 Rh 2.53-2.64
Se: 0.1764 0.4882 0.3527  3 Rh 2.48-2.49
Se: 0.0848 0.8236 0.1697  3 Rh 2.48-2.55
Rh: 0.3418 0.0315 0.6835  6 Se 2.46-2.64
Rh: 0.2986 0.6748 0.5972  6 Se 2.48-2.63
Rh: 0.0001 0.0000 0.0001  6 Se 2.48-2.55
Rh: 0.7015 0.3252 0.4030  6 Se 2.48-2.63
Rh: 0.6583 0.9684 0.3167  6 Se 2.46-2.64
K: 0.4994 0.5004 0.9987  4 Se 3.42-3.43, 2 K 3.75

Values from the calculation:
uncorrected formation energy: -497 meV per atom
crystal system: monoclinic
magnetic moment: 0.00 μB/atom
V: 306 Å³/cell


(5)
DFT (GGA-PBE) results for a relaxed K3Rh2Se4 crystal.

Cell: 3.8396 7.1002 9.2621 Å, 98.07 90.00 105.69°
Last column: nearest neighbours and their distance in Å.
Element x y z (fractional)
Rh: 0.7066 0.4133 0.8203  5 Se 2.49-2.58
Rh: 0.2934 0.5867 0.1797  5 Se 2.49-2.58
K: 0.3901 0.7802 0.5952  5 Se 3.21-3.54
K: 0.0000 0.0000 0.0000  6 Se 3.19-3.31
K: 0.6099 0.2198 0.4048  5 Se 3.21-3.54
Se: 0.6849 0.3698 0.0919  3 Rh 2.49-2.58
Se: 0.3151 0.6302 0.9081  3 Rh 2.49-2.58
Se: 0.1059 0.2119 0.7007  2 Rh 2.52
Se: 0.8941 0.7881 0.2993  2 Rh 2.52

Values from the calculation:
uncorrected formation energy: -677 meV per atom
crystal system: monoclinic
magnetic moment: 0.00 μB/atom
V: 240 Å³/cell


(6)
DFT (GGA-PBE) results for a relaxed KRh6Se8 crystal.

Cell: 6.8374 6.8374 6.8374 Å, 89.27 89.27 89.27°
Last column: nearest neighbours and their distance in Å.
Element x y z (fractional)
Se: 0.8556 0.2683 0.6167  4 Rh 2.49-2.55
Se: 0.2683 0.6167 0.8556  4 Rh 2.49-2.55
Se: 0.2505 0.2505 0.2505  3 Rh 2.44
Se: 0.3833 0.1444 0.7317  4 Rh 2.49-2.55
Se: 0.7495 0.7495 0.7495  3 Rh 2.44
Se: 0.1444 0.7317 0.3833  4 Rh 2.49-2.55
Se: 0.6167 0.8556 0.2683  4 Rh 2.49-2.55
Se: 0.7317 0.3833 0.1444  4 Rh 2.49-2.55
Rh: 0.5640 0.1874 0.4062  5 Se 2.44-2.55
Rh: 0.4062 0.5640 0.1874  5 Se 2.44-2.55
Rh: 0.5938 0.4360 0.8126  5 Se 2.44-2.55
Rh: 0.1874 0.4062 0.5640  5 Se 2.44-2.55
Rh: 0.4360 0.8126 0.5938  5 Se 2.44-2.55
Rh: 0.8126 0.5938 0.4360  5 Se 2.44-2.55
K: 0.0000 0.0000 0.0000  8 Se 3.00-3.33

Values from the calculation:
uncorrected formation energy: -427 meV per atom
crystal system: trigonal
magnetic moment: 0.00 μB/atom
V: 320 Å³/cell


(7)
DFT (GGA-PBE) results for a relaxed K2RhSe crystal.

Cell: 6.1117 6.1117 6.1117 Å, 138.95 125.36 70.55°
Last column: nearest neighbours and their distance in Å.
Element x y z (fractional)
Se: 0.3221 0.8221 0.5000  2 Rh 2.35
K: 0.7256 0.2256 0.5000  4 K 3.39-3.75, 4 Rh 3.40-3.74, 4 Se 3.66
K: 0.0341 0.0341 0.0000  4 K 3.39-3.75, 4 Se 3.51-3.58, 4 Rh 3.71
Rh: 0.4183 0.4183 0.0000  2 Se 2.35

Values from the calculation:
uncorrected formation energy: -366 meV per atom
crystal system: orthorhombic
magnetic moment: 0.00 μB/atom
V: 120 Å³/cell


(8)
DFT (GGA-PBE) results for a relaxed KRhSe crystal.

Cell: 4.9519 4.9519 4.9519 Å, 60.00 60.00 60.00°
Last column: nearest neighbours and their distance in Å.
Element x y z (fractional)
Rh: 0.0000 0.0000 0.0000  4 K 3.03
K: 0.7500 0.7500 0.7500  4 Se 3.03, 4 Rh 3.03
Se: 0.5000 0.5000 0.5000  4 K 3.03

Values from the calculation:
uncorrected formation energy: 830 meV per atom
crystal system: cubic
magnetic moment: 0.64 μB/atom
V: 86 Å³/cell